Version one
Below is an optimized crystal structure of Al2FeAg, with properties calculated at the GGA-PBE level.

CIF file:
```
data_Al2FeAg
_chemical_formula_sum 'Al2 Fe1 Ag1'
_cell_length_a 4.320
_cell_length_b 4.320
_cell_length_c 4.320
_cell_angle_alpha 60.00
_cell_angle_beta 60.00
_cell_angle_gamma 60.00
_symmetry_space_group_name_H-M 'P 1'
_symmetry_Int_Tables_number 1
loop_
_symmetry_equiv_pos_as_xyz
'x,y,z'
loop_
_atom_site_label
_atom_site_type_symbol
_atom_site_fract_x
_atom_site_fract_y
_atom_site_fract_z
_atom_site_occupancy
Al1 Al 0.250 0.250 0.250 1
Al2 Al 0.750 0.750 0.750 1
Fe1 Fe 0.000 0.000 0.000 1
Ag1 Ag 0.500 0.500 0.500 1
```

Version two
Below is an optimized crystal structure of Al2FeAg, with properties calculated at the GGA-PBE level.

CIF file:
```
data_Al2FeAg
_chemical_formula_sum 'Al2 Fe1 Ag1'
_cell_length_a 8.929
_cell_length_b 8.929
_cell_length_c 8.929
_cell_angle_alpha 18.31
_cell_angle_beta 18.31
_cell_angle_gamma 18.31
_symmetry_space_group_name_H-M 'P 1'
_symmetry_Int_Tables_number 1
loop_
_symmetry_equiv_pos_as_xyz
'x,y,z'
loop_
_atom_site_label
_atom_site_type_symbol
_atom_site_fract_x
_atom_site_fract_y
_atom_site_fract_z
_atom_site_occupancy
Al1 Al 0.000 0.000 0.000 1
Al2 Al 0.246 0.246 0.246 1
Fe1 Fe 0.741 0.741 0.741 1
Ag1 Ag 0.494 0.494 0.494 1
```

Which of them is the most stable? Correct choice: version one.

Version one
Below is an optimized crystal structure of AlFeAg, with properties calculated at the GGA-PBE level.

CIF file:
```
data_AlFeAg
_chemical_formula_sum 'Al1 Fe1 Ag1'
_cell_length_a 6.118
_cell_length_b 6.118
_cell_length_c 6.118
_cell_angle_alpha 153.89
_cell_angle_beta 153.89
_cell_angle_gamma 37.26
_symmetry_space_group_name_H-M 'P 1'
_symmetry_Int_Tables_number 1
loop_
_symmetry_equiv_pos_as_xyz
'x,y,z'
loop_
_atom_site_label
_atom_site_type_symbol
_atom_site_fract_x
_atom_site_fract_y
_atom_site_fract_z
_atom_site_occupancy
Al1 Al 0.000 0.000 0.000 1
Fe1 Fe 0.356 0.356 0.000 1
Ag1 Ag 0.681 0.681 0.000 1
```

Version two
Below is an optimized crystal structure of AlFeAg, with properties calculated at the GGA-PBE level.

CIF file:
```
data_AlFeAg
_chemical_formula_sum 'Al2 Fe2 Ag2'
_cell_length_a 2.796
_cell_length_b 2.796
_cell_length_c 13.282
_cell_angle_alpha 90.00
_cell_angle_beta 90.00
_cell_angle_gamma 120.00
_symmetry_space_group_name_H-M 'P 1'
_symmetry_Int_Tables_number 1
loop_
_symmetry_equiv_pos_as_xyz
'x,y,z'
loop_
_atom_site_label
_atom_site_type_symbol
_atom_site_fract_x
_atom_site_fract_y
_atom_site_fract_z
_atom_site_occupancy
Al1 Al 0.000 0.000 0.000 1
Al2 Al 0.333 0.667 0.500 1
Fe1 Fe 0.333 0.667 0.153 1
Fe2 Fe 0.333 0.667 0.847 1
Ag1 Ag 0.000 0.000 0.325 1
Ag2 Ag 0.000 0.000 0.675 1
```

Version three
Below is an optimized crystal structure of AlFeAg, with properties calculated at the GGA-PBE level.

CIF file:
```
data_AlFeAg
_chemical_formula_sum 'Al1 Fe1 Ag1'
_cell_length_a 4.207
_cell_length_b 4.207
_cell_length_c 4.207
_cell_angle_alpha 60.00
_cell_angle_beta 60.00
_cell_angle_gamma 60.00
_symmetry_space_group_name_H-M 'P 1'
_symmetry_Int_Tables_number 1
loop_
_symmetry_equiv_pos_as_xyz
'x,y,z'
loop_
_atom_site_label
_atom_site_type_symbol
_atom_site_fract_x
_atom_site_fract_y
_atom_site_fract_z
_atom_site_occupancy
Al1 Al 0.000 0.000 0.000 1
Fe1 Fe 0.750 0.750 0.750 1
Ag1 Ag 0.500 0.500 0.500 1
```

Which of them is the most stable? Correct choice: version one.

Version one
Below is an optimized crystal structure of AlFe3Ag, with properties calculated at the GGA-PBE level.

CIF file:
```
data_AlFe3Ag
_chemical_formula_sum 'Al1 Fe3 Ag1'
_cell_length_a 4.380
_cell_length_b 4.380
_cell_length_c 4.380
_cell_angle_alpha 90.00
_cell_angle_beta 90.00
_cell_angle_gamma 90.00
_symmetry_space_group_name_H-M 'P 1'
_symmetry_Int_Tables_number 1
loop_
_symmetry_equiv_pos_as_xyz
'x,y,z'
loop_
_atom_site_label
_atom_site_type_symbol
_atom_site_fract_x
_atom_site_fract_y
_atom_site_fract_z
_atom_site_occupancy
Al1 Al 0.000 0.000 0.000 1
Fe1 Fe 0.000 0.000 0.500 1
Fe2 Fe 0.000 0.500 0.000 1
Fe3 Fe 0.500 0.000 0.000 1
Ag1 Ag 0.500 0.500 0.500 1
```

Version two
Below is an optimized crystal structure of AlFe3Ag, with properties calculated at the GGA-PBE level.

CIF file:
```
data_AlFe3Ag
_chemical_formula_sum 'Al1 Fe3 Ag1'
_cell_length_a 4.679
_cell_length_b 4.679
_cell_length_c 4.679
_cell_angle_alpha 90.00
_cell_angle_beta 90.00
_cell_angle_gamma 90.00
_symmetry_space_group_name_H-M 'P 1'
_symmetry_Int_Tables_number 1
loop_
_symmetry_equiv_pos_as_xyz
'x,y,z'
loop_
_atom_site_label
_atom_site_type_symbol
_atom_site_fract_x
_atom_site_fract_y
_atom_site_fract_z
_atom_site_occupancy
Al1 Al 0.000 0.000 0.000 1
Fe1 Fe 0.000 0.500 0.500 1
Fe2 Fe 0.500 0.000 0.500 1
Fe3 Fe 0.500 0.500 0.000 1
Ag1 Ag 0.500 0.500 0.500 1
```

Which of them is the most stable? Correct choice: version one.

Version one
Below is an optimized crystal structure of AlFeAg3, with properties calculated at the GGA-PBE level.

CIF file:
```
data_AlFeAg3
_chemical_formula_sum 'Al1 Fe1 Ag3'
_cell_length_a 4.759
_cell_length_b 4.759
_cell_length_c 4.759
_cell_angle_alpha 90.00
_cell_angle_beta 90.00
_cell_angle_gamma 90.00
_symmetry_space_group_name_H-M 'P 1'
_symmetry_Int_Tables_number 1
loop_
_symmetry_equiv_pos_as_xyz
'x,y,z'
loop_
_atom_site_label
_atom_site_type_symbol
_atom_site_fract_x
_atom_site_fract_y
_atom_site_fract_z
_atom_site_occupancy
Al1 Al 0.000 0.000 0.000 1
Fe1 Fe 0.500 0.500 0.500 1
Ag1 Ag 0.000 0.000 0.500 1
Ag2 Ag 0.000 0.500 0.000 1
Ag3 Ag 0.500 0.000 0.000 1
```

Version two
Below is an optimized crystal structure of AlFeAg3, with properties calculated at the GGA-PBE level.

CIF file:
```
data_AlFeAg3
_chemical_formula_sum 'Al1 Fe1 Ag3'
_cell_length_a 4.871
_cell_length_b 4.871
_cell_length_c 4.871
_cell_angle_alpha 90.00
_cell_angle_beta 90.00
_cell_angle_gamma 90.00
_symmetry_space_group_name_H-M 'P 1'
_symmetry_Int_Tables_number 1
loop_
_symmetry_equiv_pos_as_xyz
'x,y,z'
loop_
_atom_site_label
_atom_site_type_symbol
_atom_site_fract_x
_atom_site_fract_y
_atom_site_fract_z
_atom_site_occupancy
Al1 Al 0.000 0.000 0.000 1
Fe1 Fe 0.500 0.500 0.500 1
Ag1 Ag 0.000 0.500 0.500 1
Ag2 Ag 0.500 0.000 0.500 1
Ag3 Ag 0.500 0.500 0.000 1
```

Which of them is the most stable? Correct choice: version one.